No. 1
VASP calculation (PBE-GGA) on a relaxed Zr2TaAs crystal.

Summary:
* DFT formation energy: -0.1849 eV/atom
* symmetry: I-4m2
* N(E_F): 5.9 states/eV/f.u.

abc: 5.5827 5.5827 5.5827
angles: 137.46 137.46 61.74
With the nearest neighbours (Å) after each atom.
Positions (direct):
Zr  0.0000  0.0000  0.0000  4 Ta 2.86, 4 Zr 3.14, 4 As 3.14
Zr  0.7500  0.2500  0.5000  4 As 2.86, 4 Ta 3.14, 4 Zr 3.14
Ta  0.5000  0.5000  0.0000  8 Zr 2.86-3.14, 4 As 3.14
As  0.2500  0.7500  0.5000  8 Zr 2.86-3.14, 4 Ta 3.14

---

No. 2
VASP calculation (PBE-GGA) on a relaxed LiTm8Cd2 crystal.

Summary:
* DFT formation energy: -0.0454 eV/atom
* symmetry: C2/m
* N(E_F): 8.8 states/eV/f.u.

abc: 9.1165 9.1165 6.9002
angles: 106.56 106.56 33.45
With the nearest neighbours (Å) after each atom.
Positions (direct):
Li  0.0000  0.0000  0.0000  8 Tm 2.91-3.15
Tm  0.0947  0.0947  0.4540  1 Li 3.08, 2 Cd 3.30, 3 Tm 3.33-3.42
Tm  0.1612  0.1612  0.9592  1 Li 2.91, 3 Cd 2.93-3.26
Tm  0.3101  0.3101  0.7215  1 Cd 2.97
Tm  0.4761  0.4761  0.2267  1 Cd 3.03, 2 Li 3.15
Tm  0.5239  0.5239  0.7733  1 Cd 3.03, 2 Li 3.15
Tm  0.6899  0.6899  0.2785  1 Cd 2.97
Tm  0.8388  0.8388  0.0408  1 Li 2.91, 3 Cd 2.93-3.26
Tm  0.9053  0.9053  0.5460  1 Li 3.08, 2 Cd 3.30, 3 Tm 3.33-3.42
Cd  0.3118  0.3118  0.2925  5 Tm 2.93-3.26
Cd  0.6882  0.6882  0.7075  5 Tm 2.93-3.26